VASP calculation (PBEsol) on LiCuBr2 after structural relaxation.

Calculated values
Polymorph energy (0 for the lowest one) ... 0.0 kJ/mol of atoms
Crystal system ... tetragonal
E_tot ... -3.38 eV per atom
Uncorrected formation energy ... -0.865 eV/atom

a b c (Å): 5.683 5.683 11.375
angles (deg): 90.00 90.00 90.00
Space group I-42d (No. 122)
One atom of each set of equivalent atoms:
Li1 0.000 0.000 0.000 x4
Cu1 0.000 0.000 0.500 x4
Br1 0.237 0.250 0.625 x8